Density functional theory data (GGA+U) for a geometry-optimized Ba4NiPb3O12 structure.

a b c (Å): 7.4265 7.4265 7.4265
angles (deg): 109.47 109.47 109.47
Last column: nearest neighbours and their distance in Å.
Element x y z (fractional)
1 O 0.0000 0.7561 0.7561  1 Ni 2.09, 1 Pb 2.20
2 O 0.2500 0.5000 0.7500  2 Pb 2.14
3 O 0.7500 0.5000 0.2500  2 Pb 2.14
4 O 0.5000 0.7500 0.2500  2 Pb 2.14
5 O 0.7500 0.2500 0.5000  2 Pb 2.14
6 Ba 0.5000 0.0000 0.0000  12 O 3.03
7 O 0.5000 0.2500 0.7500  2 Pb 2.14
8 Ba 0.0000 0.0000 0.5000  12 O 3.03
9 O 0.2500 0.7500 0.5000  2 Pb 2.14
10 Pb 0.5000 0.0000 0.5000  6 O 2.14-2.20
11 O 0.2439 0.2439 0.0000  1 Ni 2.09, 1 Pb 2.20
12 O 0.2439 0.0000 0.2439  1 Ni 2.09, 1 Pb 2.20
13 Ni 0.0000 0.0000 0.0000  6 O 2.09
14 O 0.0000 0.2439 0.2439  1 Ni 2.09, 1 Pb 2.20
15 Pb 0.5000 0.5000 0.0000  6 O 2.14-2.20
16 Ba 0.0000 0.5000 0.0000  12 O 3.03
17 O 0.7561 0.0000 0.7561  1 Ni 2.09, 1 Pb 2.20
18 Pb 0.0000 0.5000 0.5000  6 O 2.14-2.20
19 O 0.7561 0.7561 0.0000  1 Ni 2.09, 1 Pb 2.20
20 Ba 0.5000 0.5000 0.5000  12 O 3.03

Output
Space group: Im-3m
Total energy in eV per atom: -5.590